--- A ---
A plane-wave DFT calculation with PBE-GGA was carried out for TiMnAs2 after structural relaxation.

Cell and atoms, written as POSCAR:
```
TiMnAs2
1.0
0.0000 3.1375 3.1375
3.1375 0.0000 3.1375
3.1375 3.1375 0.0000
Ti Mn As
1 1 2
direct
0.0000 0.0000 0.0000 Ti
0.5000 0.5000 0.5000 Mn
0.2500 0.2500 0.2500 As
0.7500 0.7500 0.7500 As
```

Properties
calculated volume: 15.44 Å³ per atom
calculated density: 6.79 g/cm³
Fermi-level density of states: 0.841 states/eV/atom

***

--- B ---
A plane-wave DFT calculation with PBE-GGA was carried out for TiMnAs2 after structural relaxation.

Cell and atoms, written as POSCAR:
```
TiMnAs2
1.0
-2.6133 2.6133 6.1212
2.6133 -2.6133 6.1212
2.6133 2.6133 -6.1212
Ti Mn As
2 2 4
direct
0.0000 0.0000 0.0000 Ti
0.7500 0.2500 0.5000 Ti
0.2500 0.7500 0.5000 Mn
0.5000 0.5000 0.0000 Mn
0.1652 0.6250 0.0402 As
0.3750 0.4152 0.5402 As
0.5848 0.1250 0.9598 As
0.8750 0.8348 0.4598 As
```

Properties
calculated volume: 20.90 Å³ per atom
calculated density: 5.02 g/cm³
Fermi-level density of states: 1.147 states/eV/atom

***

Which one is most stable, and which one is least stable? A is the most stable of them, while B is the least stable.

***

--- A ---
A plane-wave DFT calculation with PBE-GGA was carried out for MnTlAs2 after structural relaxation.

Cell and atoms, written as POSCAR:
```
MnTlAs2
1.0
-3.0284 3.0284 5.7958
3.0284 -3.0284 5.7958
3.0284 3.0284 -5.7958
Mn Tl As
2 2 4
direct
0.0000 0.0000 0.0000 Mn
0.7500 0.2500 0.5000 Mn
0.2500 0.7500 0.5000 Tl
0.5000 0.5000 0.0000 Tl
0.0003 0.6250 0.8753 As
0.3750 0.2503 0.3753 As
0.7497 0.1250 0.1247 As
0.8750 0.9997 0.6247 As
```

Properties
calculated volume: 26.58 Å³ per atom
calculated density: 6.39 g/cm³
Fermi-level density of states: 0.980 states/eV/atom

***

--- B ---
A plane-wave DFT calculation with PBE-GGA was carried out for MnTlAs2 after structural relaxation.

Cell and atoms, written as POSCAR:
```
MnTlAs2
1.0
0.0000 3.4806 3.4806
3.4806 0.0000 3.4806
3.4806 3.4806 0.0000
Mn Tl As
1 1 2
direct
0.0000 0.0000 0.0000 Mn
0.7500 0.7500 0.7500 Tl
0.2500 0.2500 0.2500 As
0.5000 0.5000 0.5000 As
```

Properties
calculated volume: 21.08 Å³ per atom
calculated density: 8.06 g/cm³
Fermi-level density of states: 0.915 states/eV/atom

***

--- C ---
A plane-wave DFT calculation with PBE-GGA was carried out for MnTlAs2 after structural relaxation.

Cell and atoms, written as POSCAR:
```
MnTlAs2
1.0
1.6443 0.9493 8.6710
-1.6443 0.9493 8.6710
0.0000 -1.8987 8.6710
Mn Tl As
1 1 2
direct
0.0000 0.0000 0.0000 Mn
0.7541 0.7541 0.7541 Tl
0.2778 0.2778 0.2778 As
0.5175 0.5175 0.5175 As
```

Properties
calculated volume: 20.30 Å³ per atom
calculated density: 8.37 g/cm³
Fermi-level density of states: 0.764 states/eV/atom

***

--- D ---
A plane-wave DFT calculation with PBE-GGA was carried out for MnTlAs2 after structural relaxation.

Cell and atoms, written as POSCAR:
```
MnTlAs2
1.0
-2.2391 2.2391 4.1289
2.2391 -2.2391 4.1289
2.2391 2.2391 -4.1289
Mn Tl As
1 1 2
direct
0.0000 0.0000 0.0000 Mn
0.5000 0.5000 0.0000 Tl
0.2500 0.7500 0.5000 As
0.7500 0.2500 0.5000 As
```

Properties
calculated volume: 20.70 Å³ per atom
calculated density: 8.21 g/cm³
Fermi-level density of states: 0.492 states/eV/atom

***

Which one is most stable, and which one is least stable? A is the most stable of them, while B is the least stable.

***

--- A ---
A plane-wave DFT calculation with PBE-GGA was carried out for MnTlAs2 after structural relaxation.

Cell and atoms, written as POSCAR:
```
MnTlAs2
1.0
-1.5994 1.6326 8.2170
1.5994 -1.6326 8.2170
1.5994 1.6326 -8.2170
Mn Tl As
1 1 2
direct
0.0000 0.0000 0.0000 Mn
0.2370 0.7370 0.5000 Tl
0.5640 0.5640 0.0000 As
0.8858 0.3858 0.5000 As
```

Properties
calculated volume: 21.46 Å³ per atom
calculated density: 7.92 g/cm³
Fermi-level density of states: 0.426 states/eV/atom

***

--- B ---
A plane-wave DFT calculation with PBE-GGA was carried out for MnTlAs2 after structural relaxation.

Cell and atoms, written as POSCAR:
```
MnTlAs2
1.0
3.3083 -1.8987 0.0000
3.3083 1.8987 0.0000
-2.1834 0.0000 7.0260
Mn Tl As
1 1 2
direct
0.0000 0.0000 0.0000 Mn
0.5000 0.5000 0.5000 Tl
0.2760 0.2760 0.8298 As
0.7240 0.7240 0.1702 As
```

Properties
calculated volume: 22.07 Å³ per atom
calculated density: 7.70 g/cm³
Fermi-level density of states: 0.458 states/eV/atom

***

--- C ---
A plane-wave DFT calculation with PBE-GGA was carried out for MnTlAs2 after structural relaxation.

Cell and atoms, written as POSCAR:
```
MnTlAs2
1.0
2.8677 -3.8908 0.0000
2.8677 3.8908 0.0000
0.0000 0.0000 3.7636
Mn Tl As
1 1 2
direct
0.0000 0.0000 0.0000 Mn
0.5000 0.5000 0.0000 Tl
0.0000 0.5000 0.5000 As
0.5000 0.0000 0.5000 As
```

Properties
calculated volume: 21.00 Å³ per atom
calculated density: 8.09 g/cm³
Fermi-level density of states: 0.580 states/eV/atom

***

Which one is most stable, and which one is least stable? B is the most stable of them, while C is the least stable.

***

--- A ---
A plane-wave DFT calculation with PBE-GGA was carried out for MnTlAs2 after structural relaxation.

Cell and atoms, written as POSCAR:
```
MnTlAs2
1.0
1.5710 0.9070 9.3495
-1.5710 0.9070 9.3495
0.0000 -1.8141 9.3495
Mn Tl As
1 1 2
direct
0.0000 0.0000 0.0000 Mn
0.5000 0.5000 0.5000 Tl
0.2750 0.2750 0.2750 As
0.7250 0.7250 0.7250 As
```

Properties
calculated volume: 19.98 Å³ per atom
calculated density: 8.50 g/cm³
Fermi-level density of states: 0.568 states/eV/atom

***

--- B ---
A plane-wave DFT calculation with PBE-GGA was carried out for MnTlAs2 after structural relaxation.

Cell and atoms, written as POSCAR:
```
MnTlAs2
1.0
4.4630 0.0000 0.0000
0.0000 4.4630 0.0000
0.0000 0.0000 5.3132
Mn Tl As
1 1 2
direct
0.0000 0.0000 0.0000 Mn
0.5000 0.5000 0.5000 Tl
0.0000 0.5000 0.8304 As
0.5000 0.0000 0.1696 As
```

Properties
calculated volume: 26.46 Å³ per atom
calculated density: 6.42 g/cm³
Fermi-level density of states: 0.509 states/eV/atom

***

--- C ---
A plane-wave DFT calculation with PBE-GGA was carried out for MnTlAs2 after structural relaxation.

Cell and atoms, written as POSCAR:
```
MnTlAs2
1.0
3.3837 0.0000 0.0000
0.0000 3.3837 0.0000
0.0000 0.0000 7.3953
Mn Tl As
1 1 2
direct
0.0000 0.0000 0.0000 Mn
0.5000 0.5000 0.3392 Tl
0.0000 0.0000 0.6565 As
0.5000 0.5000 0.9020 As
```

Properties
calculated volume: 21.17 Å³ per atom
calculated density: 8.02 g/cm³
Fermi-level density of states: 0.679 states/eV/atom

***

Which one is most stable, and which one is least stable? A is the most stable of them, while C is the least stable.

***

--- A ---
A plane-wave DFT calculation with PBE-GGA was carried out for MnTlAs2 after structural relaxation.

Cell and atoms, written as POSCAR:
```
MnTlAs2
1.0
4.1844 0.0000 0.0000
0.0000 3.7183 0.0000
-1.9397 0.0000 5.8682
Mn Tl As
1 1 2
direct
0.0000 0.0000 0.0000 Mn
0.0000 0.0000 0.5000 Tl
0.4137 0.5000 0.1740 As
0.5863 0.5000 0.8260 As
```

Properties
calculated volume: 22.83 Å³ per atom
calculated density: 7.44 g/cm³
Fermi-level density of states: 0.465 states/eV/atom

***

--- B ---
A plane-wave DFT calculation with PBE-GGA was carried out for MnTlAs2 after structural relaxation.

Cell and atoms, written as POSCAR:
```
MnTlAs2
1.0
3.0464 0.0000 0.0000
0.0000 3.3467 0.0000
0.0000 0.0000 7.9973
Mn Tl As
1 1 2
direct
0.0000 0.0000 0.0000 Mn
0.0000 0.0000 0.5000 Tl
0.5000 0.5000 0.1728 As
0.5000 0.5000 0.8272 As
```

Properties
calculated volume: 20.38 Å³ per atom
calculated density: 8.33 g/cm³
Fermi-level density of states: 0.667 states/eV/atom

***

Which one is most stable, and which one is least stable? B is the most stable of them, while A is the least stable.

***

--- A ---
A plane-wave DFT calculation with PBE-GGA was carried out for MnTlAs2 after structural relaxation.

Cell and atoms, written as POSCAR:
```
MnTlAs2
1.0
0.0000 3.3331 3.3331
3.3331 0.0000 3.3331
3.3331 3.3331 0.0000
Mn Tl As
1 1 2
direct
0.0000 0.0000 0.0000 Mn
0.5000 0.5000 0.5000 Tl
0.2500 0.2500 0.2500 As
0.7500 0.7500 0.7500 As
```

Properties
calculated volume: 18.51 Å³ per atom
calculated density: 9.17 g/cm³
Fermi-level density of states: 2.169 states/eV/atom

***

--- B ---
A plane-wave DFT calculation with PBE-GGA was carried out for MnTlAs2 after structural relaxation.

Cell and atoms, written as POSCAR:
```
MnTlAs2
1.0
-1.5197 2.5878 5.3182
1.5197 -2.5878 5.3182
1.5197 2.5878 -5.3182
Mn Tl As
1 1 2
direct
0.0000 0.0000 0.0000 Mn
0.5000 0.5000 0.0000 Tl
0.1836 0.6836 0.5000 As
0.8164 0.3164 0.5000 As
```

Properties
calculated volume: 20.91 Å³ per atom
calculated density: 8.12 g/cm³
Fermi-level density of states: 0.714 states/eV/atom

***

Which one is most stable, and which one is least stable? B is the most stable of them, while A is the least stable.

***

--- A ---
A plane-wave DFT calculation with PBE-GGA was carried out for MnV3As after structural relaxation.

Cell and atoms, written as POSCAR:
```
MnV3As
1.0
4.5179 0.0000 0.0000
0.0000 4.5179 0.0000
0.0000 0.0000 4.5179
Mn V As
1 3 1
direct
0.0000 0.0000 0.0000 Mn
0.0000 0.5000 0.5000 V
0.5000 0.0000 0.5000 V
0.5000 0.5000 0.0000 V
0.5000 0.5000 0.5000 As
```

Properties
calculated volume: 18.44 Å³ per atom
calculated density: 5.09 g/cm³
Fermi-level density of states: 0.941 states/eV/atom

***

--- B ---
A plane-wave DFT calculation with PBE-GGA was carried out for MnV3As after structural relaxation.

Cell and atoms, written as POSCAR:
```
MnV3As
1.0
4.2994 0.0000 0.0000
0.0000 4.2994 0.0000
0.0000 0.0000 4.2994
Mn V As
1 3 1
direct
0.0000 0.0000 0.0000 Mn
0.0000 0.0000 0.5000 V
0.0000 0.5000 0.0000 V
0.5000 0.0000 0.0000 V
0.5000 0.5000 0.5000 As
```

Properties
calculated volume: 15.89 Å³ per atom
calculated density: 5.91 g/cm³
Fermi-level density of states: 1.207 states/eV/atom

***

Which one is most stable, and which one is least stable? B is the most stable of them, while A is the least stable.

***

--- A ---
A plane-wave DFT calculation with PBE-GGA was carried out for MnVAs2 after structural relaxation.

Cell and atoms, written as POSCAR:
```
MnVAs2
1.0
3.4087 0.0000 0.0000
0.0000 6.1998 0.0000
0.0000 0.0000 5.7312
Mn V As
2 2 4
direct
0.0000 0.0630 0.0000 Mn
0.0000 0.9370 0.5000 Mn
0.5000 0.4436 0.0093 V
0.5000 0.5564 0.5093 V
0.0000 0.3239 0.3089 As
0.0000 0.6761 0.8089 As
0.5000 0.1680 0.7009 As
0.5000 0.8320 0.2009 As
```

Properties
calculated volume: 15.14 Å³ per atom
calculated density: 7.01 g/cm³
Fermi-level density of states: 0.620 states/eV/atom

***

--- B ---
A plane-wave DFT calculation with PBE-GGA was carried out for MnVAs2 after structural relaxation.

Cell and atoms, written as POSCAR:
```
MnVAs2
1.0
-2.8777 2.8777 5.5945
2.8777 -2.8777 5.5945
2.8777 2.8777 -5.5945
Mn V As
2 2 4
direct
0.0000 0.0000 0.0000 Mn
0.7500 0.2500 0.5000 Mn
0.2500 0.7500 0.5000 V
0.5000 0.5000 0.0000 V
0.1295 0.6250 0.0045 As
0.3750 0.3795 0.5045 As
0.6205 0.1250 0.9955 As
0.8750 0.8705 0.4955 As
```

Properties
calculated volume: 23.16 Å³ per atom
calculated density: 4.58 g/cm³
Fermi-level density of states: 0.607 states/eV/atom

***

--- C ---
A plane-wave DFT calculation with PBE-GGA was carried out for MnVAs2 after structural relaxation.

Cell and atoms, written as POSCAR:
```
MnVAs2
1.0
3.5620 0.0000 0.0000
-1.7810 3.0848 0.0000
0.0000 0.0000 5.7823
Mn V As
1 1 2
direct
0.0000 0.0000 0.0000 Mn
0.0000 0.0000 0.5000 V
0.3333 0.6667 0.2432 As
0.6667 0.3333 0.7568 As
```

Properties
calculated volume: 15.88 Å³ per atom
calculated density: 6.68 g/cm³
Fermi-level density of states: 0.675 states/eV/atom

***

Which one is most stable, and which one is least stable? A is the most stable of them, while B is the least stable.